Entry 1:
VASP calculation (PBE) on CePu2PdPt2 after structural relaxation.

Unit cell a=4.995 b=4.995 c=6.111 alpha=90.00 beta=90.00 gamma=120.00
Sites, in units of the cell vectors:
Pu (0.333, 0.667, 0.689)
Pt (0.667, 0.333, 0.799)
Ce (0.000, 0.000, 0.000)
Pd (0.000, 0.000, 0.500)
Pu (0.667, 0.333, 0.311)
Pt (0.333, 0.667, 0.201)

Computed properties:
* energy of formation: -734 meV/atom
* magnetic moment: 12.2 μB/f.u.


Entry 2:
VASP calculation (PBE) on Pa2Te5Au after structural relaxation.

Unit cell a=6.070 b=7.505 c=13.941 alpha=90.00 beta=90.00 gamma=113.85
Sites, in units of the cell vectors:
Te (0.349, 0.697, 0.056)
Te (0.349, 0.697, 0.444)
Au (0.319, 0.637, 0.250)
Te (0.944, 0.887, 0.625)
Te (0.651, 0.303, 0.944)
Au (0.681, 0.363, 0.750)
Te (0.265, 0.529, 0.750)
Te (0.944, 0.887, 0.875)
Te (0.056, 0.113, 0.375)
Te (0.651, 0.303, 0.556)
Pa (0.149, 0.297, 0.934)
Pa (0.149, 0.297, 0.566)
Te (0.056, 0.113, 0.125)
Pa (0.851, 0.703, 0.434)
Te (0.735, 0.471, 0.250)
Pa (0.851, 0.703, 0.066)

Computed properties:
* raw formation energy: -4.13 eV per formula unit
* magnetic moment: 1.1 μB/f.u.


Table of uncorrected energy (eV/atom), in record order: -9.380; -5.263